PBE PrTl2Cu, optimized geometry; relative energy among the computed polymorphs = 0.00 kcal/mol of atoms; DFT total energy = -0.2585 Ry per atom; energy of formation = -0.12 eV/atom; magnetization = 0.000 μB/f.u.; space group = R-3m
1.0
4.630 0.000 0.000
2.315 4.010 0.000
2.315 1.337 5.504
Pr Cu Tl
1 1 2
direct
0.000 0.000 0.000
0.500 0.500 0.500
0.778 0.778 0.666
0.222 0.222 0.334

---

PBE InAgN2O, optimized geometry; DFT total energy = -0.3043 Ry per atom; magnetization = 3.961 μB/f.u.; space group = P4/mmm; raw formation energy = 1.300 eV/atom
1.0
-3.390 -1.783 -2.047
1.930 -3.886 0.189
-1.856 -0.741 3.718
Ag O N In
1 1 2 1
direct
0.500 0.500 0.500
0.000 0.000 0.500
0.500 0.000 0.000
0.000 0.500 0.000
0.000 0.000 0.000

---

PBE CdSiPt2, optimized geometry; DFT total energy = -0.3719 Ry per atom; magnetization = 0.000 μB/f.u.; space group = R3m; raw formation energy = -0.455 eV/atom
1.0
-3.654 1.145 1.006
-3.146 -1.701 -1.698
-2.356 -3.802 3.559
Cd Pt Si
1 2 1
direct
0.496 0.496 0.511
0.276 0.276 0.172
0.056 0.056 0.831
0.672 0.672 0.985

---

PBE Li2TeOsO6, optimized geometry; DFT total energy = -0.4399 Ry per atom; magnetization = 0.000 μB/f.u.; space group = P4mm; raw formation energy = -1.191 eV/atom
1.0
-0.875 -0.030 -4.919
-5.437 -0.629 0.971
-0.625 5.523 0.078
Li Os Te O
2 1 1 6
direct
0.868 0.000 0.500
0.868 0.500 0.000
0.595 0.500 0.500
0.638 0.000 0.000
0.738 0.269 0.269
0.254 0.500 0.500
0.738 0.731 0.269
0.738 0.731 0.731
0.272 0.000 0.000
0.738 0.269 0.731